(1)
The following is a DFT calculation (PBE-GGA) of a geometry-optimized Sc2CdRu structure.

Output
The density of states at the Fermi level comes out at 7.2 states/eV per cell. As for the space group: Imm2 (44).

```
Sc2CdRu
1.0
3.315 0.000 0.000
0.000 4.697 0.000
0.000 0.000 10.136
Sc Cd Ru
4 2 2
direct
0.000 0.000 0.000 Sc
0.000 0.500 0.211 Sc
0.500 0.000 0.711 Sc
0.500 0.500 0.500 Sc
0.000 0.500 0.776 Cd
0.500 0.000 0.276 Cd
0.000 0.000 0.504 Ru
0.500 0.500 0.004 Ru
```

=====

(2)
The following is a DFT calculation (PBE-GGA) of a geometry-optimized ScCdRu structure.

Output
The density of states at the Fermi level comes out at 12.0 states/eV per cell. As for the space group: F-43m (216).

```
ScCdRu
1.0
6.358 0.000 0.000
0.000 6.358 0.000
0.000 0.000 6.358
Sc Cd Ru
4 4 4
direct
0.000 0.000 0.000 Sc
0.000 0.500 0.500 Sc
0.500 0.000 0.500 Sc
0.500 0.500 0.000 Sc
0.000 0.000 0.500 Cd
0.000 0.500 0.000 Cd
0.500 0.000 0.000 Cd
0.500 0.500 0.500 Cd
0.250 0.250 0.250 Ru
0.250 0.750 0.750 Ru
0.750 0.250 0.750 Ru
0.750 0.750 0.250 Ru
```

=====

(3)
The following is a DFT calculation (PBE-GGA) of a geometry-optimized ScCd3Ru structure.

Output
The density of states at the Fermi level comes out at 7.4 states/eV per cell. As for the space group: Pm-3m (221).

```
ScCd3Ru
1.0
5.371 0.000 0.000
0.000 5.371 0.000
0.000 0.000 5.371
Sc Cd Ru
1 3 1
direct
0.000 0.000 0.000 Sc
0.000 0.000 0.500 Cd
0.000 0.500 0.000 Cd
0.500 0.000 0.000 Cd
0.500 0.500 0.500 Ru
```

=====

(4)
The following is a DFT calculation (PBE-GGA) of a geometry-optimized Sc2CdRu structure.

Output
The density of states at the Fermi level comes out at 3.3 states/eV per cell. As for the space group: Pmm2 (25).

```
Sc2CdRu
1.0
3.304 0.000 0.000
0.000 4.035 0.000
0.000 0.000 6.036
Sc Cd Ru
2 1 1
direct
0.000 0.000 0.000 Sc
0.500 0.500 0.298 Sc
0.000 0.000 0.543 Cd
0.500 0.500 0.861 Ru
```

=====

(5)
The following is a DFT calculation (PBE-GGA) of a geometry-optimized Sc4CdRu structure.

Output
The density of states at the Fermi level comes out at 8.5 states/eV per cell. As for the space group: F-43m (216).

```
Sc4CdRu
1.0
0.000 3.955 3.955
3.955 0.000 3.955
3.955 3.955 0.000
Sc Cd Ru
4 1 1
direct
0.377 0.377 0.377 Sc
0.377 0.377 0.869 Sc
0.377 0.869 0.377 Sc
0.869 0.377 0.377 Sc
0.000 0.000 0.000 Cd
0.750 0.750 0.750 Ru
```

=====

(6)
The following is a DFT calculation (PBE-GGA) of a geometry-optimized ScCdRu3 structure.

Output
The density of states at the Fermi level comes out at 6.2 states/eV per cell. As for the space group: Pm-3m (221).

```
ScCdRu3
1.0
4.661 0.000 0.000
0.000 4.661 0.000
0.000 0.000 4.661
Sc Cd Ru
1 1 3
direct
0.000 0.000 0.000 Sc
0.500 0.500 0.500 Cd
0.000 0.000 0.500 Ru
0.000 0.500 0.000 Ru
0.500 0.000 0.000 Ru
```

=====

(7)
The following is a DFT calculation (PBE-GGA) of a geometry-optimized Sc2CdRu structure.

Output
The density of states at the Fermi level comes out at 1.7 states/eV per cell. As for the space group: P4/mmm (123).

```
Sc2CdRu
1.0
4.693 0.000 0.000
0.000 4.693 0.000
0.000 0.000 3.437
Sc Cd Ru
2 1 1
direct
0.000 0.500 0.000 Sc
0.500 0.000 0.000 Sc
0.000 0.000 0.500 Cd
0.500 0.500 0.500 Ru
```

=====

(8)
The following is a DFT calculation (PBE-GGA) of a geometry-optimized ScCdRu structure.

Output
The density of states at the Fermi level comes out at 3.1 states/eV per cell. As for the space group: P3m1 (156).

```
ScCdRu
1.0
4.577 0.000 0.000
-2.289 3.964 0.000
0.000 0.000 2.994
Sc Cd Ru
1 1 1
direct
0.000 0.000 0.000 Sc
0.667 0.333 0.404 Cd
0.333 0.667 0.760 Ru
```

=====

(9)
The following is a DFT calculation (PBE-GGA) of a geometry-optimized Sc4Cd3Ru structure.

Output
The density of states at the Fermi level comes out at 5.6 states/eV per cell. As for the space group: P4/mmm (123).

```
Sc4Cd3Ru
1.0
3.291 0.000 0.000
0.000 3.291 0.000
0.000 0.000 15.308
Sc Cd Ru
4 3 1
direct
0.000 0.000 0.100 Sc
0.000 0.000 0.366 Sc
0.000 0.000 0.634 Sc
0.000 0.000 0.900 Sc
0.500 0.500 0.236 Cd
0.500 0.500 0.500 Cd
0.500 0.500 0.764 Cd
0.500 0.500 0.000 Ru
```

=====

(10)
The following is a DFT calculation (PBE-GGA) of a geometry-optimized ScCdRu structure.

Output
The density of states at the Fermi level comes out at 6.9 states/eV per cell. As for the space group: F-43m (216).

```
ScCdRu
1.0
6.343 0.000 0.000
0.000 6.343 0.000
0.000 0.000 6.343
Sc Cd Ru
4 4 4
direct
0.000 0.000 0.000 Sc
0.000 0.500 0.500 Sc
0.500 0.000 0.500 Sc
0.500 0.500 0.000 Sc
0.250 0.250 0.750 Cd
0.250 0.750 0.250 Cd
0.750 0.250 0.250 Cd
0.750 0.750 0.750 Cd
0.250 0.250 0.250 Ru
0.250 0.750 0.750 Ru
0.750 0.250 0.750 Ru
0.750 0.750 0.250 Ru
```

=====

(11)
The following is a DFT calculation (PBE-GGA) of a geometry-optimized Sc2CdRu structure.

Output
The density of states at the Fermi level comes out at 3.1 states/eV per cell. As for the space group: P4/mmm (123).

```
Sc2CdRu
1.0
3.277 0.000 0.000
0.000 3.277 0.000
0.000 0.000 7.217
Sc Cd Ru
2 1 1
direct
0.000 0.000 0.213 Sc
0.000 0.000 0.787 Sc
0.500 0.500 0.500 Cd
0.500 0.500 0.000 Ru
```

=====

(12)
The following is a DFT calculation (PBE-GGA) of a geometry-optimized Sc2Cd2Ru structure.

Output
The density of states at the Fermi level comes out at 4.3 states/eV per cell. As for the space group: I4/mmm (139).

```
Sc2Cd2Ru
1.0
3.262 0.000 0.000
0.000 3.262 0.000
0.000 0.000 18.721
Sc Cd Ru
4 4 2
direct
0.000 0.000 0.082 Sc
0.000 0.000 0.918 Sc
0.500 0.500 0.418 Sc
0.500 0.500 0.582 Sc
0.000 0.000 0.303 Cd
0.000 0.000 0.697 Cd
0.500 0.500 0.197 Cd
0.500 0.500 0.803 Cd
0.000 0.000 0.500 Ru
0.500 0.500 0.000 Ru
```

=====

(13)
The following is a DFT calculation (PBE-GGA) of a geometry-optimized ScCdRu4 structure.

Output
The density of states at the Fermi level comes out at 9.0 states/eV per cell. As for the space group: F-43m (216).

```
ScCdRu4
1.0
0.000 3.675 3.675
3.675 0.000 3.675
3.675 3.675 0.000
Sc Cd Ru
1 1 4
direct
0.000 0.000 0.000 Sc
0.250 0.250 0.250 Cd
0.125 0.625 0.625 Ru
0.625 0.125 0.625 Ru
0.625 0.625 0.125 Ru
0.625 0.625 0.625 Ru
```

=====

(14)
The following is a DFT calculation (PBE-GGA) of a geometry-optimized Sc2CdRu structure.

Output
The density of states at the Fermi level comes out at 11.2 states/eV per cell. As for the space group: R3m (160).

```
Sc2CdRu
1.0
3.175 0.000 0.000
-1.588 2.750 0.000
0.000 0.000 28.418
Sc Cd Ru
6 3 3
direct
0.000 0.000 0.000 Sc
0.000 0.000 0.233 Sc
0.333 0.667 0.667 Sc
0.333 0.667 0.900 Sc
0.667 0.333 0.333 Sc
0.667 0.333 0.566 Sc
0.000 0.000 0.476 Cd
0.333 0.667 0.143 Cd
0.667 0.333 0.810 Cd
0.000 0.000 0.732 Ru
0.333 0.667 0.399 Ru
0.667 0.333 0.065 Ru
```

=====

(15)
The following is a DFT calculation (PBE-GGA) of a geometry-optimized Sc2CdRu structure.

Output
The density of states at the Fermi level comes out at 24.6 states/eV per cell. As for the space group: F-43m (216).

```
Sc2CdRu
1.0
6.682 0.000 0.000
0.000 6.682 0.000
0.000 0.000 6.682
Sc Cd Ru
8 4 4
direct
0.000 0.000 0.000 Sc
0.000 0.500 0.500 Sc
0.250 0.250 0.250 Sc
0.250 0.750 0.750 Sc
0.500 0.000 0.500 Sc
0.500 0.500 0.000 Sc
0.750 0.250 0.750 Sc
0.750 0.750 0.250 Sc
0.250 0.250 0.750 Cd
0.250 0.750 0.250 Cd
0.750 0.250 0.250 Cd
0.750 0.750 0.750 Cd
0.000 0.000 0.500 Ru
0.000 0.500 0.000 Ru
0.500 0.000 0.000 Ru
0.500 0.500 0.500 Ru
```

=====

(16)
The following is a DFT calculation (PBE-GGA) of a geometry-optimized Sc3CdRu structure.

Output
The density of states at the Fermi level comes out at 5.0 states/eV per cell. As for the space group: Pm-3m (221).

```
Sc3CdRu
1.0
5.107 0.000 0.000
0.000 5.107 0.000
0.000 0.000 5.107
Sc Cd Ru
3 1 1
direct
0.000 0.000 0.500 Sc
0.000 0.500 0.000 Sc
0.500 0.000 0.000 Sc
0.000 0.000 0.000 Cd
0.500 0.500 0.500 Ru
```

=====

(17)
The following is a DFT calculation (PBE-GGA) of a geometry-optimized Sc2CdRu structure.

Output
The density of states at the Fermi level comes out at 5.1 states/eV per cell. As for the space group: I-42d (122).

```
Sc2CdRu
1.0
7.572 0.000 0.000
0.000 7.572 0.000
0.000 0.000 5.870
Sc Cd Ru
8 4 4
direct
0.196 0.250 0.125 Sc
0.250 0.696 0.375 Sc
0.250 0.804 0.875 Sc
0.304 0.250 0.625 Sc
0.696 0.750 0.625 Sc
0.750 0.196 0.875 Sc
0.750 0.304 0.375 Sc
0.804 0.750 0.125 Sc
0.000 0.000 0.500 Cd
0.000 0.500 0.750 Cd
0.500 0.000 0.250 Cd
0.500 0.500 0.000 Cd
0.000 0.000 0.000 Ru
0.000 0.500 0.250 Ru
0.500 0.000 0.750 Ru
0.500 0.500 0.500 Ru
```

=====

(18)
The following is a DFT calculation (PBE-GGA) of a geometry-optimized Sc6CdRu2 structure.

Output
The density of states at the Fermi level comes out at 19.0 states/eV per cell. As for the space group: Immm (71).

```
Sc6CdRu2
1.0
-4.354 4.436 4.975
4.354 -4.436 4.975
4.354 4.436 -4.975
Sc Cd Ru
12 2 4
direct
0.034 0.241 0.793 Sc
0.185 0.288 0.473 Sc
0.185 0.712 0.897 Sc
0.331 0.022 0.691 Sc
0.331 0.639 0.309 Sc
0.448 0.241 0.207 Sc
0.552 0.759 0.793 Sc
0.669 0.361 0.691 Sc
0.669 0.978 0.309 Sc
0.815 0.288 0.103 Sc
0.815 0.712 0.527 Sc
0.966 0.759 0.207 Sc
0.000 0.000 0.000 Cd
0.500 0.500 0.000 Cd
0.135 0.635 0.500 Ru
0.327 0.000 0.327 Ru
0.673 0.000 0.673 Ru
0.865 0.365 0.500 Ru
```

=====

(19)
The following is a DFT calculation (PBE-GGA) of a geometry-optimized ScCd3Ru structure.

Output
The density of states at the Fermi level comes out at 9.7 states/eV per cell. As for the space group: Pm-3m (221).

```
ScCd3Ru
1.0
5.084 0.000 0.000
0.000 5.084 0.000
0.000 0.000 5.084
Sc Cd Ru
1 3 1
direct
0.000 0.000 0.000 Sc
0.000 0.500 0.500 Cd
0.500 0.000 0.500 Cd
0.500 0.500 0.000 Cd
0.500 0.500 0.500 Ru
```

=====

(20)
The following is a DFT calculation (PBE-GGA) of a geometry-optimized Sc4CdRu structure.

Output
The density of states at the Fermi level comes out at 6.9 states/eV per cell. As for the space group: P4/mmm (123).

```
Sc4CdRu
1.0
3.264 0.000 0.000
0.000 3.264 0.000
0.000 0.000 12.035
Sc Cd Ru
4 1 1
direct
0.000 0.000 0.127 Sc
0.000 0.000 0.873 Sc
0.500 0.500 0.330 Sc
0.500 0.500 0.670 Sc
0.000 0.000 0.500 Cd
0.500 0.500 0.000 Ru
```

=====

| no. | energy of formation from the pure elements (eV per atom) |
| --- | --- |
| 1 | -0.26 |
| 2 | 0.10 |
| 3 | 1.47 |
| 4 | -0.15 |
| 5 | 0.36 |
| 6 | 1.33 |
| 7 | -0.37 |
| 8 | -0.09 |
| 9 | -0.40 |
| 10 | 0.45 |
| 11 | -0.51 |
| 12 | -0.43 |
| 13 | 0.02 |
| 14 | 0.03 |
| 15 | -0.12 |
| 16 | 1.06 |
| 17 | -0.05 |
| 18 | -0.36 |
| 19 | 0.56 |
| 20 | -0.30 |